(1)
Crystalline Rb2Ba2RhO6 at its relaxed geometry. Source: Alexandria via LeMat-Bulk, functional PBE.

Cell: 6.3536 6.3536 6.8315 Å, 97.06 97.06 118.37°
Site moments in Bohr magnetons follow the coordinates.
Fractional coordinates of all 11 atoms:
Rb1 0.8456 0.1544 0.0000  0.01
Rb2 0.1544 0.8456 0.0000  0.01
Ba1 0.3382 0.6618 0.5000  0.03
Ba2 0.6618 0.3382 0.5000  0.03
Rh1 0.0000 0.0000 0.5000  1.37
O1 0.7982 0.7982 0.6811  0.17
O2 0.0420 0.3048 0.6666  0.20
O3 0.2018 0.2018 0.3189  0.17
O4 0.3048 0.0420 0.6666  0.20
O5 0.9580 0.6952 0.3334  0.20
O6 0.6952 0.9580 0.3334  0.20

Summary:
E ... -5.392 eV per atom
Spin magnetization ... 2.95 μB/cell
Formation energy from raw total energies ... -1493 meV per atom
D(E_F) ... 0.303 states/eV per cell

(2)
Crystalline Pm2Pr3In3 at its relaxed geometry. Source: Alexandria via LeMat-Bulk, functional PBE.

Cell: 5.4428 6.3654 9.1474 Å, 120.94 107.31 90.00°
Fractional coordinates of all 8 atoms:
Pm1 0.2327 0.1578 0.4654
Pm2 0.7673 0.8422 0.5346
Pr1 0.6224 0.1999 0.2448
Pr2 0.5000 0.5000 0.0000
Pr3 0.3776 0.8001 0.7552
In1 0.1503 0.5582 0.3006
In2 0.8497 0.4418 0.6994
In3 0.0000 0.0000 0.0000

Summary:
Formation energy ... -0.2393 eV per atom
E ... -4.246 eV per atom
Spin magnetization ... 0.00 μB/cell
D(E_F) ... 7.794 states/eV per cell

(3)
Crystalline Co4Sb at its relaxed geometry. Source: Alexandria via LeMat-Bulk, functional PBE.

Cell: 4.8312 4.8312 4.8312 Å, 109.47 109.47 109.47°
Site moments in Bohr magnetons follow the coordinates.
Fractional coordinates of all 5 atoms:
Co1 0.5000 0.0000 0.0000  1.53
Co2 0.5000 0.5000 0.5000  1.53
Co3 0.0000 0.5000 0.0000  1.53
Co4 0.0000 0.0000 0.5000  1.53
Sb1 0.0000 0.0000 0.0000  -0.03

Summary:
E ... -5.458 eV per atom
Spin magnetization ... 6.01 μB/cell
Formation energy from raw total energies ... 1051 meV per atom
D(E_F) ... 9.201 states/eV per cell

Q: Among the records above, which one has the lowest E?
A: Co4Sb